No. 1
VASP calculation (PBE-GGA) on a relaxed structure of Zn4InCu15.

## Properties
DOS at the Fermi energy: 0.215 states/eV per atom
energy relative to the elements: -0.0470 eV per atom

Unit cell a=3.6944 b=3.6944 c=18.7858 alpha=90.00 beta=90.00 gamma=90.00
Last column: nearest neighbours and their distance in Å.
Positions (direct):
Zn 0.0000 0.0000 0.2065  12 Cu 2.60-2.61
Zn 0.0000 0.0000 0.4024  12 Cu 2.60-2.61
Zn 0.0000 0.0000 0.5976  12 Cu 2.60-2.61
Zn 0.0000 0.0000 0.7935  12 Cu 2.60-2.61
In 0.0000 0.0000 0.0000  12 Cu 2.61-2.76
Cu 0.5000 0.5000 0.0000  4 In 2.61, 8 Cu 2.76
Cu 0.5000 0.5000 0.2070  8 Cu 2.61, 4 Zn 2.61
Cu 0.5000 0.5000 0.4028  8 Cu 2.60-2.61, 4 Zn 2.61
Cu 0.5000 0.5000 0.5972  8 Cu 2.60-2.61, 4 Zn 2.61
Cu 0.5000 0.5000 0.7930  8 Cu 2.61, 4 Zn 2.61
Cu 0.5000 0.0000 0.1089  2 Zn 2.60, 8 Cu 2.61-2.76, 2 In 2.76
Cu 0.5000 0.0000 0.3049  4 Zn 2.60-2.61, 8 Cu 2.61
Cu 0.5000 0.0000 0.5000  8 Cu 2.60-2.61, 4 Zn 2.60
Cu 0.5000 0.0000 0.6951  4 Zn 2.60-2.61, 8 Cu 2.61
Cu 0.5000 0.0000 0.8911  2 Zn 2.60, 8 Cu 2.61-2.76, 2 In 2.76
Cu 0.0000 0.5000 0.1089  2 Zn 2.60, 8 Cu 2.61-2.76, 2 In 2.76
Cu 0.0000 0.5000 0.3049  4 Zn 2.60-2.61, 8 Cu 2.61
Cu 0.0000 0.5000 0.5000  8 Cu 2.60-2.61, 4 Zn 2.60
Cu 0.0000 0.5000 0.6951  4 Zn 2.60-2.61, 8 Cu 2.61
Cu 0.0000 0.5000 0.8911  2 Zn 2.60, 8 Cu 2.61-2.76, 2 In 2.76



No. 2
VASP calculation (PBE-GGA) on a relaxed structure of MgMn2As.

## Properties
DOS at the Fermi energy: 0.702 states/eV per atom
energy relative to the elements: 0.1789 eV per atom

Unit cell a=8.4346 b=8.4346 c=8.4346 alpha=20.55 beta=20.55 gamma=20.55
Last column: nearest neighbours and their distance in Å.
Positions (direct):
As 0.5094 0.5094 0.5094  3 Mn 2.60
Mg 0.7475 0.7475 0.7475  3 Mn 2.86, 3 As 2.93, 6 Mg 3.01
Mn 0.9892 0.9892 0.9892  3 Mn 2.43
Mn 0.2539 0.2539 0.2539  3 Mn 2.43, 3 As 2.60



Number 1: final energy -70.2 eV/cell. Number 2: final energy -23.9 eV/cell.